Entry 1:
VASP calculation (PBE-GGA) on crystalline Sn4Pd7Pt at its relaxed geometry.

Computed properties:
Space-group type = No. 12
Raw total energy = -5.1201 eV/atom

Lattice parameters (Å, degrees): 5.0106 8.5255 6.1342 79.43 65.89 72.91
Positions (direct):
Pt1 0.0000 0.0000 0.0000
Pd1 0.5000 0.0000 0.0000
Pd2 0.8011 0.9066 0.4912
Pd3 0.0835 0.6725 0.1605
Pd4 0.1989 0.0934 0.5088
Pd5 0.9165 0.3275 0.8395
Pd6 0.3652 0.5269 0.7427
Pd7 0.6348 0.4731 0.2573
Sn1 0.4088 0.7812 0.4012
Sn2 0.5912 0.2188 0.5988
Sn3 0.2574 0.3278 0.1575
Sn4 0.7426 0.6722 0.8425



Entry 2:
VASP calculation (PBE-GGA) on crystalline Sn2Pd2Pt at its relaxed geometry.

Computed properties:
Space-group type = No. 72
E above lowest polymorph = 44.4 meV per atom

Lattice parameters (Å, degrees): 5.3702 6.5988 6.9290 118.44 112.80 90.00
Positions (direct):
Pd1 0.4024 0.0446 0.8049
Pd2 0.0976 0.2398 0.1951
Pd3 0.5976 0.9554 0.1951
Pd4 0.9024 0.7602 0.8049
Sn1 0.3377 0.5860 0.6754
Sn2 0.1623 0.9106 0.3246
Sn3 0.6623 0.4140 0.3246
Sn4 0.8377 0.0894 0.6754
Pt1 0.7500 0.5000 0.0000
Pt2 0.2500 0.5000 0.0000



Entry 3:
VASP calculation (PBE-GGA) on crystalline SnPd5Pt8 at its relaxed geometry.

Computed properties:
Space-group type = No. 82
Raw total energy = -5.5038 eV/atom

Lattice parameters (Å, degrees): 6.7442 6.7442 6.7442 109.80 108.81 109.80
Positions (direct):
Pd1 0.5000 0.0000 0.5000
Pd2 0.2816 0.0819 0.9717
Pd3 0.8003 0.6901 0.7184
Pd4 0.8898 0.9181 0.1997
Pd5 0.0283 0.3099 0.1102
Pt1 0.6511 0.3981 0.9262
Pt2 0.0738 0.7250 0.4719
Pt3 0.3660 0.2970 0.4347
Pt4 0.1377 0.7030 0.0690
Pt5 0.5653 0.9313 0.8623
Pt6 0.9310 0.0687 0.6340
Pt7 0.7469 0.2750 0.3489
Pt8 0.5281 0.6019 0.2531
Sn1 0.2500 0.5000 0.7500



Entry 4:
VASP calculation (PBE-GGA) on crystalline Sn2Pd6Pt at its relaxed geometry.

Computed properties:
Space-group type = No. 166
Raw total energy = -5.3632 eV/atom

Lattice parameters (Å, degrees): 4.4873 4.4873 9.3658 76.14 76.14 60.00
Positions (direct):
Pd1 0.3026 0.3026 0.0923
Pd2 0.1984 0.1984 0.4047
Pd3 0.8016 0.8016 0.5953
Pd4 0.6974 0.6974 0.9077
Pd5 0.4068 0.4068 0.7797
Pd6 0.5932 0.5932 0.2203
Pt1 0.0000 0.0000 0.0000
Sn1 0.1002 0.1002 0.6994
Sn2 0.8998 0.8998 0.3006



Entry 5:
VASP calculation (PBE-GGA) on crystalline SnPd4Pt at its relaxed geometry.

Computed properties:
Space-group type = No. 36
E above lowest polymorph = 214.1 meV per atom

Lattice parameters (Å, degrees): 4.1181 5.3603 9.8559 90.00 102.06 90.00
Positions (direct):
Pt1 0.5849 0.9288 0.1698
Pt2 0.4151 0.4288 0.8302
Pd1 0.2765 0.5761 0.5529
Pd2 0.0059 0.6888 0.0118
Pd3 0.3107 0.0835 0.6214
Pd4 0.5600 0.4297 0.1200
Pd5 0.6893 0.5835 0.3786
Pd6 0.9941 0.1888 0.9882
Pd7 0.4400 0.9297 0.8800
Pd8 0.7235 0.0761 0.4471
Sn1 0.8578 0.7265 0.7157
Sn2 0.1422 0.2265 0.2843



Entry 6:
VASP calculation (PBE-GGA) on crystalline Sn8Pd2Pt at its relaxed geometry.

Computed properties:
Space-group type = No. 2
Raw total energy = -4.6550 eV/atom

Lattice parameters (Å, degrees): 5.3473 6.3708 9.0952 114.91 81.33 103.89
Positions (direct):
Sn1 0.7930 0.3599 0.2182
Sn2 0.3920 0.2582 0.8882
Sn3 0.2373 0.0867 0.2704
Sn4 0.6080 0.7418 0.1118
Sn5 0.2814 0.7083 0.4501
Sn6 0.7627 0.9133 0.7296
Sn7 0.2070 0.6401 0.7817
Sn8 0.7186 0.2917 0.5499
Pt1 0.0000 0.0000 0.0000
Pd1 0.1795 0.1763 0.6066
Pd2 0.8205 0.8237 0.3934



Entry 7:
VASP calculation (PBE-GGA) on crystalline Sn4Pd3Pt4 at its relaxed geometry.

Computed properties:
Space-group type = No. 71
Raw total energy = -5.3157 eV/atom

Lattice parameters (Å, degrees): 4.9104 3.0330 13.8518 96.29 100.21 90.00
Positions (direct):
Pd1 0.6387 0.1387 0.2774
Pd2 0.3613 0.8613 0.7226
Pd3 0.0000 0.0000 0.0000
Pt1 0.4517 0.4517 0.9033
Pt2 0.1862 0.6862 0.3723
Pt3 0.5483 0.5483 0.0967
Pt4 0.8138 0.3138 0.6277
Sn1 0.7243 0.7243 0.4485
Sn2 0.0880 0.5880 0.1760
Sn3 0.2757 0.2757 0.5515
Sn4 0.9120 0.4120 0.8240



Entry 8:
VASP calculation (PBE-GGA) on crystalline Sn6Pd2Pt at its relaxed geometry.

Computed properties:
Space-group type = No. 162
Raw total energy = -4.8035 eV/atom

Lattice parameters (Å, degrees): 5.9671 6.5622 6.5622 120.00 90.00 90.00
Positions (direct):
Sn1 0.2125 0.0000 0.6366
Sn2 0.2125 0.6366 0.0000
Sn3 0.7875 0.6366 0.6366
Sn4 0.2125 0.3634 0.3634
Sn5 0.7875 0.3634 0.0000
Sn6 0.7875 0.0000 0.3634
Pt1 0.0000 0.0000 0.0000
Pd1 0.5000 0.3333 0.6667
Pd2 0.5000 0.6667 0.3333



Entry 9:
VASP calculation (PBE-GGA) on crystalline Sn6Pd3Pt at its relaxed geometry.

Computed properties:
Space-group type = No. 14
Raw total energy = -4.9554 eV/atom

Lattice parameters (Å, degrees): 7.1644 6.6453 9.3082 90.00 83.39 90.00
Positions (direct):
Pd1 0.5272 0.8275 0.7715
Pd2 0.4728 0.1725 0.2285
Pd3 0.5000 0.5000 0.0000
Pd4 0.0272 0.6725 0.2715
Pd5 0.0000 0.0000 0.5000
Pd6 0.9728 0.3275 0.7285
Sn1 0.1523 0.3427 0.0989
Sn2 0.3477 0.8427 0.4011
Sn3 0.6901 0.5186 0.2343
Sn4 0.3099 0.4814 0.7657
Sn5 0.1901 0.9814 0.7343
Sn6 0.8099 0.0186 0.2657
Sn7 0.8477 0.6573 0.9011
Sn8 0.3306 0.8547 0.0699
Sn9 0.6523 0.1573 0.5989
Sn10 0.1694 0.3547 0.4301
Sn11 0.8306 0.6453 0.5699
Sn12 0.6694 0.1453 0.9301
Pt1 0.5000 0.5000 0.5000
Pt2 0.0000 0.0000 0.0000



Entry 10:
VASP calculation (PBE-GGA) on crystalline SnPdPt14 at its relaxed geometry.

Computed properties:
Space-group type = No. 38
Raw total energy = -5.9407 eV/atom

Lattice parameters (Å, degrees): 5.6104 5.6104 9.3671 90.00 90.00 120.20
Positions (direct):
Pt1 0.3745 0.1244 0.7501
Pt2 0.7078 0.7918 0.0000
Pt3 0.0415 0.4565 0.5000
Pt4 0.7081 0.2919 0.0000
Pt5 0.8756 0.6255 0.2499
Pt6 0.8756 0.6255 0.7501
Pt7 0.2082 0.2922 0.0000
Pt8 0.3745 0.1244 0.2499
Pt9 0.8749 0.1251 0.7501
Pt10 0.3741 0.6259 0.7497
Pt11 0.2081 0.7919 0.0000
Pt12 0.8749 0.1251 0.2499
Pt13 0.3741 0.6259 0.2503
Pt14 0.5435 0.9585 0.5000
Pd1 0.0418 0.9582 0.5000
Sn1 0.5427 0.4573 0.5000



Entry 11:
VASP calculation (PBE-GGA) on crystalline Sn2Pd4Pt at its relaxed geometry.

Computed properties:
Space-group type = No. 11
E above lowest polymorph = 0.0 meV per atom

Lattice parameters (Å, degrees): 6.8732 5.5107 7.9674 90.00 124.34 90.00
Positions (direct):
Sn1 0.2531 0.2500 0.9149
Sn2 0.7469 0.7500 0.0851
Sn3 0.7149 0.7500 0.6334
Sn4 0.2851 0.2500 0.3666
Pd1 0.1872 0.7500 0.9196
Pd2 0.5654 0.0043 0.2683
Pd3 0.9974 0.2500 0.4976
Pd4 0.0026 0.7500 0.5024
Pd5 0.8128 0.2500 0.0804
Pd6 0.5654 0.4957 0.2683
Pd7 0.4346 0.9957 0.7317
Pd8 0.4346 0.5043 0.7317
Pt1 0.2179 0.7500 0.2916
Pt2 0.7821 0.2500 0.7084



Entry 12:
VASP calculation (PBE-GGA) on crystalline Sn2Pd2Pt at its relaxed geometry.

Computed properties:
Space-group type = No. 127
E above lowest polymorph = 147.9 meV per atom

Lattice parameters (Å, degrees): 7.3499 7.3499 3.4396 90.00 90.00 90.00
Positions (direct):
Pt1 0.0000 0.0000 0.0000
Pt2 0.5000 0.5000 0.0000
Sn1 0.1589 0.3411 0.0000
Sn2 0.8411 0.6589 0.0000
Sn3 0.3411 0.8411 0.0000
Sn4 0.6589 0.1589 0.0000
Pd1 0.3624 0.1376 0.5000
Pd2 0.6376 0.8624 0.5000
Pd3 0.8624 0.3624 0.5000
Pd4 0.1376 0.6376 0.5000



Entry 13:
VASP calculation (PBE-GGA) on crystalline SnPd6Pt2 at its relaxed geometry.

Computed properties:
Space-group type = No. 12
E above lowest polymorph = 0.0 meV per atom

Lattice parameters (Å, degrees): 4.0424 6.3029 6.2407 107.09 108.90 90.00
Positions (direct):
Pt1 0.0564 0.8391 0.1128
Pt2 0.9436 0.1609 0.8872
Pd1 0.1653 0.5008 0.3306
Pd2 0.3886 0.8319 0.7771
Pd3 0.6114 0.1681 0.2229
Pd4 0.2776 0.1659 0.5551
Pd5 0.8347 0.4992 0.6694
Pd6 0.7224 0.8341 0.4449
Sn1 0.5000 0.5000 0.0000



Entry 14:
VASP calculation (PBE-GGA) on crystalline Sn5Pd2Pt at its relaxed geometry.

Computed properties:
Space-group type = No. 63
Raw total energy = -4.7981 eV/atom

Lattice parameters (Å, degrees): 4.7545 7.0700 13.7980 90.00 90.00 109.65
Positions (direct):
Pd1 0.1090 0.2180 0.5523
Pd2 0.8910 0.7820 0.0523
Pd3 0.1090 0.2180 0.9477
Pd4 0.8910 0.7820 0.4477
Sn1 0.2968 0.5936 0.4361
Sn2 0.0658 0.1316 0.3638
Sn3 0.9342 0.8684 0.8638
Sn4 0.0658 0.1316 0.1362
Sn5 0.7032 0.4064 0.5639
Sn6 0.2968 0.5936 0.0639
Sn7 0.8268 0.6536 0.2500
Sn8 0.7032 0.4064 0.9361
Sn9 0.1732 0.3464 0.7500
Sn10 0.9342 0.8684 0.6362
Pt1 0.7764 0.5529 0.7500
Pt2 0.2236 0.4471 0.2500



Entry 15:
VASP calculation (PBE-GGA) on crystalline SnPd8Pt5 at its relaxed geometry.

Computed properties:
Space-group type = No. 82
Raw total energy = -5.3631 eV/atom

Lattice parameters (Å, degrees): 6.7385 6.7385 6.7385 110.51 107.42 110.51
Positions (direct):
Pt1 0.5000 0.0000 0.5000
Pt2 0.8794 0.9127 0.1931
Pt3 0.8069 0.6863 0.7196
Pt4 0.2804 0.0873 0.9667
Pt5 0.0333 0.3137 0.1206
Pd1 0.9300 0.0732 0.6387
Pd2 0.1433 0.7088 0.0700
Pd3 0.3613 0.2912 0.4345
Pd4 0.6532 0.3970 0.9233
Pd5 0.0767 0.7299 0.4737
Pd6 0.5263 0.6030 0.2563
Pd7 0.5655 0.9268 0.8567
Pd8 0.7437 0.2701 0.3468
Sn1 0.2500 0.5000 0.7500



Entry 16:
VASP calculation (PBE-GGA) on crystalline Sn2Pd12Pt5 at its relaxed geometry.

Computed properties:
Space-group type = No. 12
Raw total energy = -5.4360 eV/atom

Lattice parameters (Å, degrees): 8.4224 7.3673 6.1260 90.11 90.00 124.86
Positions (direct):
Pt1 0.6622 0.3244 0.9002
Pt2 0.7676 0.5352 0.5058
Pt3 0.2324 0.4648 0.4942
Pt4 0.0000 0.0000 0.5000
Pt5 0.3378 0.6756 0.0998
Sn1 0.2549 0.0000 0.0000
Sn2 0.7451 0.0000 0.0000
Pd1 0.0547 0.6080 0.8020
Pd2 0.4468 0.8936 0.7018
Pd3 0.5532 0.1064 0.2982
Pd4 0.9453 0.3920 0.1980
Pd5 0.8711 0.7422 0.1008
Pd6 0.6315 0.7931 0.3941
Pd7 0.8384 0.2069 0.6059
Pd8 0.3685 0.2069 0.6059
Pd9 0.5533 0.6080 0.8020
Pd10 0.1289 0.2578 0.8992
Pd11 0.4467 0.3920 0.1980
Pd12 0.1616 0.7931 0.3941



Entry 17:
VASP calculation (PBE-GGA) on crystalline SnPd7Pt4 at its relaxed geometry.

Computed properties:
Space-group type = No. 12
Raw total energy = -5.2771 eV/atom

Lattice parameters (Å, degrees): 4.9058 8.7850 5.5778 84.01 63.91 73.79
Positions (direct):
Pt1 0.5747 0.2336 0.6171
Pt2 0.7265 0.6867 0.8604
Pt3 0.4253 0.7664 0.3829
Pt4 0.2735 0.3133 0.1396
Pd1 0.2018 0.0807 0.5158
Pd2 0.0327 0.6193 0.3153
Pd3 0.5000 0.0000 0.0000
Pd4 0.9673 0.3807 0.6847
Pd5 0.7982 0.9193 0.4842
Pd6 0.3388 0.5506 0.7719
Pd7 0.6612 0.4494 0.2281
Sn1 0.0000 0.0000 0.0000



Entry 18:
VASP calculation (PBE-GGA) on crystalline Sn6Pd12Pt at its relaxed geometry.

Computed properties:
Space-group type = No. 148
Raw total energy = -5.3173 eV/atom

Lattice parameters (Å, degrees): 7.4589 7.4589 7.4589 107.66 107.66 107.66
Positions (direct):
Pd1 0.0897 0.2910 0.8296
Pd2 0.3966 0.8144 0.5072
Pd3 0.1856 0.4928 0.6034
Pd4 0.2910 0.8296 0.0897
Pd5 0.5072 0.3966 0.8144
Pd6 0.9103 0.7090 0.1704
Pd7 0.8144 0.5072 0.3966
Pd8 0.4928 0.6034 0.1856
Pd9 0.6034 0.1856 0.4928
Pd10 0.7090 0.1704 0.9103
Pd11 0.8296 0.0897 0.2910
Pd12 0.1704 0.9103 0.7090
Sn1 0.7874 0.9021 0.5562
Sn2 0.5562 0.7874 0.9021
Sn3 0.0979 0.4438 0.2126
Sn4 0.9021 0.5562 0.7874
Sn5 0.4438 0.2126 0.0979
Sn6 0.2126 0.0979 0.4438
Pt1 0.0000 0.0000 0.0000



Entry 19:
VASP calculation (PBE-GGA) on crystalline Sn2Pd5Pt at its relaxed geometry.

Computed properties:
Space-group type = No. 194
E above lowest polymorph = 202.7 meV per atom

Lattice parameters (Å, degrees): 4.5482 4.5482 16.2761 90.00 90.00 120.00
Positions (direct):
Pd1 0.0000 0.0000 0.3391
Pd2 0.3333 0.6667 0.7500
Pd3 0.0000 0.0000 0.1609
Pd4 0.6667 0.3333 0.4239
Pd5 0.6667 0.3333 0.2500
Pd6 0.6667 0.3333 0.0761
Pd7 0.0000 0.0000 0.8391
Pd8 0.3333 0.6667 0.9239
Pd9 0.0000 0.0000 0.6609
Pd10 0.3333 0.6667 0.5761
Sn1 0.6667 0.3333 0.9117
Sn2 0.3333 0.6667 0.4117
Sn3 0.3333 0.6667 0.0883
Sn4 0.6667 0.3333 0.5883
Pt1 0.6667 0.3333 0.7500
Pt2 0.3333 0.6667 0.2500